Entry 1:
DyHg2 (PBE, relaxed); energy = -2.117 eV per atom; V = 23.76 Å³/atom
1.0
-0.1526 -3.9048 -2.9551
2.0155 -0.3726 4.4500
-3.0477 -0.8704 1.3075
Dy Hg
1 2
Cartesian
0.0000 0.0000 0.0000
-0.9536 -3.1628 0.1671
-0.2309 -1.9854 2.6354

Entry 2:
DyHo2Hg (PBE, relaxed); energy = -3.622 eV per atom; V = 27.77 Å³/atom; E above lowest polymorph = 0.092 eV/atom
1.0
5.4249 0.0000 0.0000
0.0000 3.6854 5.5555
0.0000 -3.6854 5.5555
Dy Hg Ho
2 2 4
Cartesian
0.0000 0.0000 3.9073
2.7124 0.0000 7.2148
2.7124 1.8427 4.4683
2.7124 -1.8427 4.4683
2.7124 0.0000 1.6178
0.0000 1.8032 6.6338
0.0000 -1.8032 6.6338
0.0000 0.0000 9.4998

For the records above, the corresponding energy of formation values read -384.5, -108.8 meV per atom.